Below is a relaxed structure of Si3NiPd, with properties calculated at the GGA-PBE level.

Lattice parameters (Å, degrees): 4.3658 4.3658 4.3658 90.00 90.00 90.00
With the nearest neighbours (Å) after each atom.
Fractional coordinates of all 5 atoms:
Ni: 0.0000 0.0000 0.0000  6 Si 2.18
Si: 0.0000 0.5000 0.0000  2 Ni 2.18
Si: 0.0000 0.0000 0.5000  2 Ni 2.18
Si: 0.5000 0.0000 0.0000  2 Ni 2.18
Pd: 0.5000 0.5000 0.5000  12 Si 3.09

Output
Raw total energy = -5.0830 eV/atom
Symmetry = No. 221
Size of the total moment = 0.000 μB per formula unit